# HfAu PBE-GGA optimized geometry
data_HfAu
_cell_length_a 10.355
_cell_length_b 10.355
_cell_length_c 3.276
_cell_angle_alpha 90.00
_cell_angle_beta 90.00
_cell_angle_gamma 90.00
_symmetry_space_group_name_H-M 'I 4/m'
_symmetry_Int_Tables_number 87
_symmetry_space_group_name_Hall '-I 4'
loop_
_atom_site_label
_atom_site_fract_x
_atom_site_fract_y
_atom_site_fract_z
_atom_site_occupancy
Hf1 0.114 0.639 0.000 1
Au1 0.087 0.170 0.000 1
# DFT formation energy: -0.1552 eV per atom
# DOS at the Fermi energy: 0.997 states/eV/atom